Entry 1:
The following is a DFT calculation (PBE) of an optimized crystal structure of BeReNi2.

Cell lengths 2.615, 4.165, 8.290 Å; angles 90.00, 90.00, 90.00 degrees
Space group Imm2 (No. 44)
Asymmetric unit:
1 Be 0.000 0.000 0.000 [2 per cell]
2 Re 0.000 0.500 0.743 [2 per cell]
3 Ni 0.000 0.000 0.518 [2 per cell]
4 Ni 0.000 0.500 0.295 [2 per cell]

Summary:
Total magnetization: 0.00 μB per formula unit
Crystal system: orthorhombic
Formation energy from the elements: -0.02 eV per atom
Calculated total energy: -55.64 eV for the cell shown

=====

Entry 2:
The following is a DFT calculation (PBE) of an optimized crystal structure of BeReNi2.

Cell lengths 2.6305, 2.6305, 23.2161 Å; angles 90.00, 90.00, 120.00 degrees
Space group R-3m (No. 166, hexagonal axes)
Asymmetric unit:
1 Be 0.0000 0.0000 0.0000 [3 per cell]
2 Re 0.0000 0.0000 0.5000 [3 per cell]
3 Ni 0.0000 0.0000 0.2586 [6 per cell]

Summary:
Total magnetization: 0.01 μB per formula unit
Crystal system: trigonal
Formation energy from the elements: 0.04 eV per atom
Calculated total energy: -82.77 eV for the cell shown

=====

Entry 3:
The following is a DFT calculation (PBE) of an optimized crystal structure of BeReNi.

Cell lengths 2.672, 2.672, 9.344 Å; angles 90.00, 90.00, 90.00 degrees
Space group I4mm (No. 107)
Asymmetric unit:
1 Be 0.000 0.000 0.000 [2 per cell]
2 Re 0.000 0.000 0.677 [2 per cell]
3 Ni 0.000 0.000 0.369 [2 per cell]

Summary:
Total magnetization: 0.00 μB per formula unit
Crystal system: tetragonal
Formation energy from the elements: -0.12 eV per atom
Calculated total energy: -44.60 eV for the cell shown
Offset from the most stable computed form: 0.0000 eV/atom

=====

Entry 4:
The following is a DFT calculation (PBE) of an optimized crystal structure of BeReNi2.

Cell lengths 2.728, 4.010, 8.035 Å; angles 90.00, 90.00, 90.00 degrees
Space group Immm (No. 71)
Asymmetric unit:
1 Be 0.000 0.000 0.000 [2 per cell]
2 Re 0.000 0.000 0.500 [2 per cell]
3 Ni 0.000 0.500 0.274 [4 per cell]

Summary:
Total magnetization: 0.00 μB per formula unit
Crystal system: orthorhombic
Formation energy from the elements: -0.04 eV per atom
Calculated total energy: -55.80 eV for the cell shown